# 1
The following is a PBE calculation of a relaxed CaDyHo2Tl4 crystal, from Alexandria.

magnetic moment	0.0	μB per cell
energy of formation from the pure elements	-0.3495	eV/atom

```
CaDyHo2Tl4
1.0
-3.0953 1.6715 -4.0714
-5.3355 0.3045 0.6259
-2.0068 8.9757 1.6551
Ca Tl Ho Dy
1 4 2 1
Direct
0.0000 0.0000 0.0000 Ca
0.6236 0.6236 0.1293 Tl
0.8739 0.8739 0.3784 Tl
0.3764 0.3764 0.8707 Tl
0.1261 0.1261 0.6216 Tl
0.7481 0.7481 0.7558 Ho
0.2519 0.2519 0.2442 Ho
0.5000 0.5000 0.5000 Dy
```

=====

# 2
The following is a PBE calculation of a relaxed CaDyYHo crystal, from Alexandria.

magnetic moment	0.0	μB per cell
energy of formation from the pure elements	0.1698	eV/atom

```
CaDyYHo
1.0
-2.2702 1.3442 5.0998
-3.0559 -3.9011 2.9003
2.1315 -2.3301 4.7954
Y Dy Ca Ho
1 1 1 1
Direct
0.2500 0.2500 0.2500 Y
0.7500 0.7500 0.7500 Dy
0.0000 0.0000 0.0000 Ca
0.5000 0.5000 0.5000 Ho
```

=====

# 3
The following is a PBE calculation of a relaxed CaDy2I crystal, from Alexandria.

magnetic moment	0.0	μB per cell
formation energy without anion corrections	-0.07	eV per atom

```
CaDy2I
1.0
-3.4009 -1.3015 0.4290
-0.5511 -3.6074 0.3561
-0.2141 -0.6448 12.0155
Ca Dy I
1 2 1
Direct
0.0000 0.0000 0.0000 Ca
0.0965 0.0965 0.7104 Dy
0.9035 0.9035 0.2896 Dy
0.5000 0.5000 0.5000 I
```

=====

# 4
The following is a PBE calculation of a relaxed Ca2DyI crystal, from Alexandria.

magnetic moment	0.5	μB per cell
formation energy without anion corrections	-0.44	eV per atom

```
Ca2DyI
1.0
3.8994 0.0000 0.0000
1.9497 3.3770 0.0000
1.9497 1.1257 10.8189
Ca Dy I
2 1 1
Direct
0.2570 0.2570 0.2289 Ca
0.7430 0.7430 0.7711 Ca
0.5000 0.5000 0.5000 Dy
0.0000 0.0000 0.0000 I
```

=====

# 5
The following is a PBE calculation of a relaxed CaDyInI6 crystal, from Alexandria.

magnetic moment	0.0	μB per cell
formation energy without anion corrections	-1.26	eV per atom

```
CaDyInI6
1.0
7.9431 0.0000 0.0000
-3.9715 6.8789 0.0000
0.0000 0.0000 15.2726
I Dy In Ca
12 2 2 2
Direct
0.6328 0.9901 0.8661 I
0.9901 0.6328 0.3661 I
0.6427 0.6328 0.1339 I
0.0099 0.6427 0.8661 I
0.3573 0.3672 0.8661 I
0.3672 0.3573 0.3661 I
0.6328 0.6427 0.6339 I
0.9901 0.3573 0.1339 I
0.0099 0.3672 0.6339 I
0.6427 0.0099 0.3661 I
0.3573 0.9901 0.6339 I
0.3672 0.0099 0.1339 I
0.3333 0.6667 0.7500 Dy
0.6667 0.3333 0.2500 Dy
0.0000 0.0000 0.0000 In
0.0000 0.0000 0.5000 In
0.6667 0.3333 0.7500 Ca
0.3333 0.6667 0.2500 Ca
```

=====

# 6
The following is a PBE calculation of a relaxed KCaDyI6 crystal, from Alexandria.

magnetic moment	0.0	μB per cell
formation energy without anion corrections	-1.49	eV per atom

```
KCaDyI6
1.0
7.9933 0.0000 0.0000
-3.9966 6.9224 0.0000
0.0000 0.0000 15.5020
I K Ca Dy
12 2 2 2
Direct
0.6374 0.0098 0.3647 I
0.6276 0.9902 0.8647 I
0.6374 0.6276 0.1353 I
0.9902 0.6276 0.3647 I
0.9902 0.3626 0.1353 I
0.3626 0.9902 0.6353 I
0.0098 0.6374 0.8647 I
0.3626 0.3724 0.8647 I
0.0098 0.3724 0.6353 I
0.3724 0.3626 0.3647 I
0.3724 0.0098 0.1353 I
0.6276 0.6374 0.6353 I
0.0000 0.0000 0.0000 K
0.0000 0.0000 0.5000 K
0.6667 0.3333 0.7500 Ca
0.3333 0.6667 0.2500 Ca
0.3333 0.6667 0.7500 Dy
0.6667 0.3333 0.2500 Dy
```

=====

# 7
The following is a PBE calculation of a relaxed LiCaDyI6 crystal, from Alexandria.

magnetic moment	0.0	μB per cell
formation energy without anion corrections	-1.39	eV per atom

```
LiCaDyI6
1.0
-6.3881 1.1557 -4.1329
5.3733 -4.9035 -2.5116
-6.3018 -10.4045 6.8311
I Dy Li Ca
12 2 2 2
Direct
0.0104 0.6675 0.8758 I
0.6675 0.0104 0.3758 I
0.9896 0.3325 0.1242 I
0.3430 0.3325 0.3758 I
0.6675 0.6570 0.1242 I
0.3325 0.9896 0.6242 I
0.6570 0.6675 0.6242 I
0.3430 0.0104 0.1242 I
0.6570 0.9896 0.8758 I
0.3325 0.3430 0.8758 I
0.0104 0.3430 0.6242 I
0.9896 0.6570 0.3758 I
0.6667 0.3333 0.2500 Dy
0.3333 0.6667 0.7500 Dy
0.0000 0.0000 0.5000 Li
0.0000 0.0000 0.0000 Li
0.3333 0.6667 0.2500 Ca
0.6667 0.3333 0.7500 Ca
```

=====

# 8
The following is a PBE calculation of a relaxed NaCaDyI6 crystal, from Alexandria.

magnetic moment	0.0	μB per cell
formation energy without anion corrections	-1.43	eV per atom

```
NaCaDyI6
1.0
7.8505 0.0000 0.0000
-3.9253 6.7987 0.0000
0.0000 0.0000 14.4667
Na I Dy Ca
2 12 2 2
Direct
0.0000 0.0000 0.5000 Na
0.0000 0.0000 0.0000 Na
0.9898 0.3460 0.1286 I
0.3562 0.0102 0.1286 I
0.0102 0.6540 0.8714 I
0.6438 0.6540 0.6286 I
0.3460 0.3563 0.8714 I
0.3562 0.3460 0.3714 I
0.6540 0.6437 0.1286 I
0.9898 0.6437 0.3714 I
0.6540 0.0102 0.3714 I
0.6438 0.9898 0.8714 I
0.3460 0.9898 0.6286 I
0.0102 0.3563 0.6286 I
0.3333 0.6667 0.7500 Dy
0.6667 0.3333 0.2500 Dy
0.6667 0.3333 0.7500 Ca
0.3333 0.6667 0.2500 Ca
```

=====

# 9
The following is a PBE calculation of a relaxed RbCaDyI6 crystal, from Alexandria.

magnetic moment	0.0	μB per cell
formation energy without anion corrections	-1.50	eV per atom

```
RbCaDyI6
1.0
8.0128 0.0000 0.0000
-4.0064 6.9393 0.0000
0.0000 0.0000 16.2947
I Ca Dy Rb
12 2 2 2
Direct
0.9902 0.6248 0.3594 I
0.3752 0.0098 0.1406 I
0.9902 0.3654 0.1406 I
0.3654 0.3752 0.8594 I
0.0098 0.6346 0.8594 I
0.3752 0.3654 0.3594 I
0.6346 0.0098 0.3594 I
0.0098 0.3752 0.6406 I
0.6248 0.6346 0.6406 I
0.6248 0.9902 0.8594 I
0.6346 0.6248 0.1406 I
0.3654 0.9902 0.6406 I
0.6667 0.3333 0.7500 Ca
0.3333 0.6667 0.2500 Ca
0.6667 0.3333 0.2500 Dy
0.3333 0.6667 0.7500 Dy
0.0000 0.0000 0.5000 Rb
0.0000 0.0000 0.0000 Rb
```

=====

# 10
The following is a PBE calculation of a relaxed RbCa2DyI8 crystal, from Alexandria.

magnetic moment	0.0	μB per cell
formation energy without anion corrections	-1.46	eV per atom

```
RbCa2DyI8
1.0
-5.2297 -1.9014 5.3166
-0.1625 -6.8117 -2.4911
7.1819 -2.4399 6.1945
I Dy Ca Rb
8 1 2 1
Direct
0.6704 0.7464 0.0000 I
0.3797 0.2673 0.5001 I
0.8361 0.2460 0.2136 I
0.3296 0.2536 0.0000 I
0.1637 0.7537 0.2137 I
0.1639 0.7540 0.7864 I
0.8363 0.2463 0.7863 I
0.6203 0.7327 0.4999 I
0.0000 0.0000 0.0000 Dy
0.5000 0.5000 0.2483 Ca
0.5000 0.5000 0.7517 Ca
0.0000 0.0000 0.5000 Rb
```

=====

# 11
The following is a PBE calculation of a relaxed Ca2DyIn2 crystal, from Alexandria.

magnetic moment	0.0	μB per cell
energy of formation from the pure elements	-0.3841	eV/atom

```
Ca2DyIn2
1.0
-3.4758 -4.0545 -0.3134
4.6173 -3.7051 -3.2750
5.4152 -5.7341 14.1216
Dy In Ca
4 8 8
Direct
0.2500 0.3487 0.0465 Dy
0.7500 0.6513 0.9535 Dy
0.7500 0.1513 0.5465 Dy
0.2500 0.8487 0.4535 Dy
0.2500 0.0541 0.6506 In
0.2500 0.5541 0.8494 In
0.7500 0.1401 0.9575 In
0.2500 0.8599 0.0425 In
0.7500 0.6401 0.5425 In
0.2500 0.3599 0.4575 In
0.7500 0.9459 0.3494 In
0.7500 0.4459 0.1506 In
0.2500 0.6777 0.2311 Ca
0.7500 0.4643 0.3544 Ca
0.2500 0.1777 0.2689 Ca
0.2500 0.0357 0.8544 Ca
0.7500 0.3223 0.7689 Ca
0.2500 0.5357 0.6456 Ca
0.7500 0.9643 0.1456 Ca
0.7500 0.8223 0.7311 Ca
```

=====

# 12
The following is a PBE calculation of a relaxed CaDy7In4 crystal, from Alexandria.

magnetic moment	0.0	μB per cell
energy of formation from the pure elements	-0.0811	eV/atom

```
CaDy7In4
1.0
5.6805 0.0000 0.0000
2.8403 9.0717 0.1718
2.8403 0.4434 7.0123
Dy In Ca
7 4 1
Direct
0.5000 0.0000 0.0000 Dy
0.9419 0.3805 0.7357 Dy
0.3153 0.6164 0.7530 Dy
0.0581 0.6195 0.2643 Dy
0.2180 0.1248 0.4391 Dy
0.6847 0.3836 0.2470 Dy
0.7820 0.8752 0.5609 Dy
0.5669 0.2242 0.6419 In
0.6868 0.6703 0.9560 In
0.4331 0.7758 0.3581 In
0.3132 0.3297 0.0440 In
0.0000 0.0000 0.0000 Ca
```